1.
A plane-wave DFT calculation with PBE was carried out for a relaxed structure of MgTlSe2N.

Geometry as CIF:
```
data_MgTlSe2N
_space_group_name_H-M_alt 'P 4/m m m'
_space_group_IT_number 123
_space_group_name_Hall '-P 4 2'
_cell_length_a 5.347
_cell_length_b 5.347
_cell_length_c 4.082
_cell_angle_alpha 90.00
_cell_angle_beta 90.00
_cell_angle_gamma 90.00
loop_
_atom_site_label
_atom_site_fract_x
_atom_site_fract_y
_atom_site_fract_z
Mg1 0.000 0.000 0.000
Tl1 0.500 0.500 0.500
Se1 0.000 0.500 0.000
N1 0.000 0.000 0.500
```

## Properties
Energy above the most stable polymorph in this dataset (meV/atom): 0
Density (g cm⁻³): 5.70
Spin magnetization (μB/atom): 0.53

2.
A plane-wave DFT calculation with PBE was carried out for a relaxed structure of MgVSe2N.

Geometry as CIF:
```
data_MgVSe2N
_space_group_name_H-M_alt 'P 4/m m m'
_space_group_IT_number 123
_space_group_name_Hall '-P 4 2'
_cell_length_a 5.108
_cell_length_b 5.108
_cell_length_c 3.881
_cell_angle_alpha 90.00
_cell_angle_beta 90.00
_cell_angle_gamma 90.00
loop_
_atom_site_label
_atom_site_fract_x
_atom_site_fract_y
_atom_site_fract_z
Mg1 0.000 0.000 0.000
V1 0.500 0.500 0.500
Se1 0.000 0.500 0.000
N1 0.000 0.000 0.500
```

## Properties
Energy above the most stable polymorph in this dataset (meV/atom): 999
Density (g cm⁻³): 4.05
Spin magnetization (μB/atom): 0.87

3.
A plane-wave DFT calculation with PBE was carried out for a relaxed structure of MgVSe2N.

Geometry as CIF:
```
data_MgVSe2N
_space_group_name_H-M_alt 'P 4/m m m'
_space_group_IT_number 123
_space_group_name_Hall '-P 4 2'
_cell_length_a 5.028
_cell_length_b 5.028
_cell_length_c 3.628
_cell_angle_alpha 90.00
_cell_angle_beta 90.00
_cell_angle_gamma 90.00
loop_
_atom_site_label
_atom_site_fract_x
_atom_site_fract_y
_atom_site_fract_z
Mg1 0.000 0.000 0.000
V1 0.500 0.500 0.500
Se1 0.000 0.500 0.500
N1 0.500 0.500 0.000
```

## Properties
Energy above the most stable polymorph in this dataset (meV/atom): 0
Density (g cm⁻³): 4.48
Spin magnetization (μB/atom): 0.00

4.
A plane-wave DFT calculation with PBE was carried out for a relaxed structure of MgWSe2N.

Geometry as CIF:
```
data_MgWSe2N
_space_group_name_H-M_alt 'P 4/m m m'
_space_group_IT_number 123
_space_group_name_Hall '-P 4 2'
_cell_length_a 5.101
_cell_length_b 5.101
_cell_length_c 3.821
_cell_angle_alpha 90.00
_cell_angle_beta 90.00
_cell_angle_gamma 90.00
loop_
_atom_site_label
_atom_site_fract_x
_atom_site_fract_y
_atom_site_fract_z
Mg1 0.000 0.000 0.000
W1 0.500 0.500 0.500
Se1 0.000 0.500 0.500
N1 0.500 0.500 0.000
```

## Properties
Energy above the most stable polymorph in this dataset (meV/atom): 0
Density (g cm⁻³): 6.35
Spin magnetization (μB/atom): 0.00

5.
A plane-wave DFT calculation with PBE was carried out for a relaxed structure of MgWSeN2.

Geometry as CIF:
```
data_MgWSeN2
_space_group_name_H-M_alt 'P 4/m m m'
_space_group_IT_number 123
_space_group_name_Hall '-P 4 2'
_cell_length_a 3.912
_cell_length_b 3.912
_cell_length_c 5.334
_cell_angle_alpha 90.00
_cell_angle_beta 90.00
_cell_angle_gamma 90.00
loop_
_atom_site_label
_atom_site_fract_x
_atom_site_fract_y
_atom_site_fract_z
Mg1 0.000 0.000 0.000
W1 0.500 0.500 0.500
Se1 0.500 0.500 0.000
N1 0.000 0.500 0.500
```

## Properties
Energy above the most stable polymorph in this dataset (meV/atom): 0
Density (g cm⁻³): 6.41
Spin magnetization (μB/atom): 0.00

6.
A plane-wave DFT calculation with PBE was carried out for a relaxed structure of MgWSe2N.

Geometry as CIF:
```
data_MgWSe2N
_space_group_name_H-M_alt 'P 4/m m m'
_space_group_IT_number 123
_space_group_name_Hall '-P 4 2'
_cell_length_a 5.074
_cell_length_b 5.074
_cell_length_c 3.796
_cell_angle_alpha 90.00
_cell_angle_beta 90.00
_cell_angle_gamma 90.00
loop_
_atom_site_label
_atom_site_fract_x
_atom_site_fract_y
_atom_site_fract_z
Mg1 0.000 0.000 0.000
W1 0.500 0.500 0.500
Se1 0.000 0.500 0.000
N1 0.000 0.000 0.500
```

## Properties
Energy above the most stable polymorph in this dataset (meV/atom): 1365
Density (g cm⁻³): 6.46
Spin magnetization (μB/atom): 0.98